(1)
An optimized crystal structure of MgGaCo. Source: Alexandria via LeMat-Bulk, functional PBE.

Computed properties:
* formation energy: -0.5 eV per formula unit
* M_tot: 0.000 μB/atom

a = 4.117 Å, b = 6.678 Å, c = 6.714 Å
α = 90.00°, β = 90.00°, γ = 90.00°
Fractional coordinates of all 12 atoms:
Mg (0.250, 0.815, 0.489)
Mg (0.750, 0.315, 0.011)
Mg (0.250, 0.685, 0.989)
Mg (0.750, 0.185, 0.511)
Ga (0.750, 0.886, 0.203)
Ga (0.750, 0.614, 0.703)
Ga (0.250, 0.114, 0.797)
Ga (0.250, 0.386, 0.297)
Co (0.750, 0.557, 0.351)
Co (0.750, 0.943, 0.851)
Co (0.250, 0.057, 0.149)
Co (0.250, 0.443, 0.649)

=====

(2)
An optimized crystal structure of BeMo2Rh. Source: Alexandria via LeMat-Bulk, functional PBE.

Computed properties:
* formation energy: 0.0 eV per formula unit
* M_tot: 0.000 μB/atom

a = 4.160 Å, b = 3.652 Å, c = 3.652 Å
α = 90.00°, β = 90.00°, γ = 90.00°
Fractional coordinates of all 4 atoms:
Be (0.500, 0.000, 0.500)
Mo (0.000, 0.000, 0.000)
Mo (0.000, 0.500, 0.500)
Rh (0.500, 0.500, 0.000)

=====

(3)
An optimized crystal structure of InFeSi2. Source: Alexandria via LeMat-Bulk, functional PBE.

Computed properties:
* energy relative to the elements, uncorrected: 0.28 eV per formula unit
* M_tot: 0.000 μB/atom

a = 2.845 Å, b = 2.845 Å, c = 7.713 Å
α = 90.00°, β = 90.00°, γ = 90.04°
Fractional coordinates of all 4 atoms:
Fe (0.500, 0.500, 0.250)
In (0.500, 0.500, 0.750)
Si (0.000, 0.000, 0.073)
Si (0.000, 0.000, 0.427)